Density functional theory data (PBE) for CsDyFeS3 after structural relaxation.

Cell lengths 9.4258, 3.9908, 9.7479 Å; angles 90.00, 111.77, 90.00 degrees
With the nearest neighbours (Å) after each atom.
Positions (direct):
Fe1 0.5766 0.2500 0.0935  4 S 2.28-2.40
S1 0.3718 0.7500 0.6588  1 Fe 2.28
Dy1 0.1633 0.2500 0.6481  6 S 2.71-2.84
Cs1 0.7101 0.2500 0.7370  7 S 3.48-3.64
Fe2 0.4234 0.7500 0.9065  4 S 2.28-2.40
Dy2 0.8367 0.7500 0.3519  6 S 2.71-2.84
S2 0.6875 0.7500 0.0401  3 Fe 2.34-2.40
S3 0.9683 0.7500 0.6506  3 Dy 2.71-2.72
S4 0.6282 0.2500 0.3412  1 Fe 2.28
Cs2 0.2899 0.7500 0.2629  7 S 3.48-3.64
S5 0.0317 0.2500 0.3494  3 Dy 2.71-2.72
S6 0.3125 0.2500 0.9599  3 Fe 2.34-2.40

Computed properties:
Symmetry: P2_1/m
Electronic total energy: -5.710 eV/atom
Total magnetization: 4.002 μB/f.u.
Calculated volume: 28.38 Å³/atom